Below is a PBEsol-optimized structure of BeOsNO2, with properties calculated at the SCAN level.

The structure in POSCAR format:
```
BeOsNO2
1.0
3.828 0.000 0.000
0.000 3.828 0.000
0.000 0.000 3.796
Be Os N O
1 1 1 2
direct
0.000 0.000 0.000
0.500 0.500 0.500
0.500 0.500 0.000
0.000 0.500 0.500
0.500 0.000 0.500
```

Values from the calculation:
Space-group type = P4/mmm (123)
Uncorrected energy = -19.34 eV per atom
Total magnetic moment = 0.00 μB/f.u.
Fermi-level density of states = 2.76 states/eV per cell
Formation energy without anion corrections = 0.262 eV/atom

Below is a PBEsol-optimized structure of BeSNO2, with properties calculated at the SCAN level.

The structure in POSCAR format:
```
BeSNO2
1.0
3.357 0.000 0.000
0.000 3.357 0.000
0.000 0.000 3.771
Be S N O
1 1 1 2
direct
0.000 0.000 0.000
0.500 0.500 0.500
0.500 0.500 0.000
0.000 0.500 0.500
0.500 0.000 0.500
```

Values from the calculation:
Space-group type = P4/mmm (123)
Uncorrected energy = -6.57 eV per atom
Total magnetic moment = 0.00 μB/f.u.
Fermi-level density of states = 0.50 states/eV per cell
Formation energy without anion corrections = 0.573 eV/atom

Below is a PBEsol-optimized structure of BeSeNO2, with properties calculated at the SCAN level.

The structure in POSCAR format:
```
BeSeNO2
1.0
3.077 0.000 0.000
0.000 3.077 0.000
0.000 0.000 6.175
Be Se N O
1 1 1 2
direct
0.000 0.000 0.000
0.500 0.500 0.500
0.000 0.000 0.500
0.000 0.500 0.000
0.500 0.000 0.000
```

Values from the calculation:
Space-group type = P4/mmm (123)
Uncorrected energy = -9.13 eV per atom
Total magnetic moment = 0.00 μB/f.u.
Fermi-level density of states = 2.23 states/eV per cell
Formation energy without anion corrections = 0.109 eV/atom

Below is a PBEsol-optimized structure of BeSeNO2, with properties calculated at the SCAN level.

The structure in POSCAR format:
```
BeSeNO2
1.0
3.539 0.000 0.000
0.000 3.539 0.000
0.000 0.000 4.082
Be Se N O
1 1 1 2
direct
0.000 0.000 0.000
0.500 0.500 0.000
0.500 0.500 0.500
0.000 0.500 0.500
0.500 0.000 0.500
```

Values from the calculation:
Space-group type = P4/mmm (123)
Uncorrected energy = -8.08 eV per atom
Total magnetic moment = 0.84 μB/f.u.
Fermi-level density of states = 2.02 states/eV per cell
Formation energy without anion corrections = 1.158 eV/atom

Below is a PBEsol-optimized structure of BeTeNO2, with properties calculated at the SCAN level.

The structure in POSCAR format:
```
BeTeNO2
1.0
3.504 0.000 0.000
0.000 3.504 0.000
0.000 0.000 3.650
Be Te N O
1 1 1 2
direct
0.000 0.000 0.000
0.500 0.500 0.500
0.000 0.000 0.500
0.000 0.500 0.000
0.500 0.000 0.000
```

Values from the calculation:
Space-group type = P4/mmm (123)
Uncorrected energy = -12.84 eV per atom
Total magnetic moment = 0.00 μB/f.u.
Fermi-level density of states = 2.66 states/eV per cell
Formation energy without anion corrections = -0.171 eV/atom

Below is a PBEsol-optimized structure of BeWNO2, with properties calculated at the SCAN level.

The structure in POSCAR format:
```
BeWNO2
1.0
3.809 0.000 0.000
0.000 3.809 0.000
0.000 0.000 3.988
Be W N O
1 1 1 2
direct
0.000 0.000 0.000
0.500 0.500 0.500
0.500 0.500 0.000
0.000 0.500 0.500
0.500 0.000 0.500
```

Values from the calculation:
Space-group type = P4/mmm (123)
Uncorrected energy = -19.73 eV per atom
Total magnetic moment = 0.00 μB/f.u.
Fermi-level density of states = 1.56 states/eV per cell
Formation energy without anion corrections = -0.570 eV/atom

Below is a PBEsol-optimized structure of BeWNO2, with properties calculated at the SCAN level.

The structure in POSCAR format:
```
BeWNO2
1.0
3.219 0.000 0.000
0.000 3.219 0.000
0.000 0.000 3.732
Be W N O
1 1 1 2
direct
0.000 0.000 0.000
0.500 0.500 0.500
0.000 0.000 0.500
0.000 0.500 0.000
0.500 0.000 0.000
```

Values from the calculation:
Space-group type = P4/mmm (123)
Uncorrected energy = -19.59 eV per atom
Total magnetic moment = 0.00 μB/f.u.
Fermi-level density of states = 1.81 states/eV per cell
Formation energy without anion corrections = -0.429 eV/atom

Below is a PBEsol-optimized structure of BeZnN2O, with properties calculated at the SCAN level.

The structure in POSCAR format:
```
BeZnN2O
1.0
3.089 0.000 0.000
0.000 3.089 0.000
0.000 0.000 5.170
Be Zn N O
1 1 2 1
direct
0.000 0.000 0.000
0.500 0.500 0.500
0.000 0.500 0.000
0.500 0.000 0.000
0.000 0.000 0.500
```

Values from the calculation:
Space-group type = P4/mmm (123)
Uncorrected energy = -7.93 eV per atom
Total magnetic moment = 1.25 μB/f.u.
Fermi-level density of states = 2.24 states/eV per cell
Formation energy without anion corrections = 0.606 eV/atom